(1)
First-principles (PBE-GGA) data for a relaxed Nd6Y5Er2 crystal, as listed in Alexandria via LeMat-Bulk.

Cell lengths 11.712, 20.713, 3.640 Å; angles 90.00, 90.00, 90.00 degrees
Space group Pbam (No. 55)
Inequivalent atoms, fractional coordinates:
Nd 0.064 0.080 0.000 (multiplicity 4)
Nd 0.083 0.366 0.000 (multiplicity 4)
Nd 0.170 0.636 0.500 (multiplicity 4)
Y 0.000 0.500 0.500 (multiplicity 2)
Y 0.093 0.226 0.500 (multiplicity 4)
Y 0.197 0.943 0.500 (multiplicity 4)
Er 0.166 0.790 0.000 (multiplicity 4)

Properties
As for the crystal system: orthorhombic. The energy relative to the elements comes out at 100 meV/atom. The calculation puts the total energy at -137.50 eV for the cell shown.

(2)
First-principles (PBE-GGA) data for a relaxed Ce4H crystal, as listed in Alexandria via LeMat-Bulk.

Cell lengths 4.826, 4.826, 4.826 Å; angles 90.00, 90.00, 90.00 degrees
Space group Pm-3m (No. 221)
Inequivalent atoms, fractional coordinates:
Ce 0.000 0.000 0.000 (multiplicity 1)
Ce 0.000 0.500 0.500 (multiplicity 3)
H 0.500 0.500 0.500 (multiplicity 1)

Properties
As for the crystal system: cubic. The calculation puts the total energy at -27.67 eV for the cell shown.